# BaOsCl2, single point on PBEsol structure, DFT SCAN
# energy relative to the lowest polymorph listed for this composition = 0 kJ/mol of formula units
# crystal system = orthorhombic
data_BaOsCl2
_cell_length_a 6.3238
_cell_length_b 7.5485
_cell_length_c 3.8512
_cell_angle_alpha 90.00
_cell_angle_beta 90.00
_cell_angle_gamma 90.00
_space_group_name_H-M_alt 'C m m m'
_space_group_IT_number 65
_space_group_name_Hall '-C 2 2'
loop_
_atom_site_label
_atom_site_type_symbol
_atom_site_fract_x
_atom_site_fract_y
_atom_site_fract_z
Ba1 Ba 0.0000 0.0000 0.0000
Os1 Os 0.0000 0.5000 0.0000
Cl1 Cl 0.0000 0.3135 0.5000

***

# BaOsCl2, single point on PBEsol structure, DFT SCAN
# energy relative to the lowest polymorph listed for this composition = 147 kJ/mol of formula units
# crystal system = tetragonal
data_BaOsCl2
_cell_length_a 3.8247
_cell_length_b 3.8247
_cell_length_c 7.0287
_cell_angle_alpha 90.00
_cell_angle_beta 90.00
_cell_angle_gamma 90.00
_space_group_name_H-M_alt 'P 4/m m m'
_space_group_IT_number 123
_space_group_name_Hall '-P 4 2'
loop_
_atom_site_label
_atom_site_type_symbol
_atom_site_fract_x
_atom_site_fract_y
_atom_site_fract_z
Ba1 Ba 0.0000 0.0000 0.0000
Os1 Os 0.0000 0.0000 0.5000
Cl1 Cl 0.5000 0.5000 0.2323

***

# BaOs2Cl, single point on PBEsol structure, DFT SCAN
# E_tot = -369.14 eV per cell
# crystal system = orthorhombic
data_BaOs2Cl
_cell_length_a 2.9902
_cell_length_b 5.1725
_cell_length_c 9.4891
_cell_angle_alpha 90.00
_cell_angle_beta 90.00
_cell_angle_gamma 90.00
_space_group_name_H-M_alt 'C m m m'
_space_group_IT_number 65
_space_group_name_Hall '-C 2 2'
loop_
_atom_site_label
_atom_site_type_symbol
_atom_site_fract_x
_atom_site_fract_y
_atom_site_fract_z
Ba1 Ba 0.0000 0.0000 0.0000
Os1 Os 0.0000 0.5000 0.2872
Cl1 Cl 0.0000 0.0000 0.5000

***

# BaOsCl2, single point on PBEsol structure, DFT SCAN
# energy relative to the lowest polymorph listed for this composition = 192 kJ/mol of formula units
# crystal system = trigonal
data_BaOsCl2
_cell_length_a 3.3172
_cell_length_b 3.3172
_cell_length_c 27.6141
_cell_angle_alpha 90.00
_cell_angle_beta 90.00
_cell_angle_gamma 120.00
_space_group_name_H-M_alt 'R -3 m'
_space_group_IT_number 166
_space_group_name_Hall '-R 3 2"'
loop_
_atom_site_label
_atom_site_type_symbol
_atom_site_fract_x
_atom_site_fract_y
_atom_site_fract_z
Ba1 Ba 0.0000 0.0000 0.0000
Os1 Os 0.0000 0.0000 0.5000
Cl1 Cl 0.0000 0.0000 0.4175

***

# BaOsCl2, single point on PBEsol structure, DFT SCAN
# energy relative to the lowest polymorph listed for this composition = 120 kJ/mol of formula units
# crystal system = orthorhombic
data_BaOsCl2
_cell_length_a 3.8403
_cell_length_b 4.8441
_cell_length_c 4.8646
_cell_angle_alpha 90.00
_cell_angle_beta 90.00
_cell_angle_gamma 90.00
_space_group_name_H-M_alt 'P m m m'
_space_group_IT_number 47
loop_
_space_group_symop_operation_xyz
'x,y,z'
'-x,-y,-z'
'-x,-y,z'
'x,y,-z'
'x,-y,-z'
'-x,y,z'
'-x,y,-z'
'x,-y,z'
loop_
_atom_site_label
_atom_site_type_symbol
_atom_site_fract_x
_atom_site_fract_y
_atom_site_fract_z
Ba1 Ba 0.0000 0.0000 0.0000
Os1 Os 0.0000 0.5000 0.5000
Cl1 Cl 0.5000 0.0000 0.5000
Cl2 Cl 0.5000 0.5000 0.0000

***

# BaPCl2, single point on PBEsol structure, DFT SCAN
# energy relative to the lowest polymorph listed for this composition = 48 kJ/mol of formula units
# crystal system = orthorhombic
data_BaPCl2
_cell_length_a 4.3771
_cell_length_b 5.5617
_cell_length_c 8.0184
_cell_angle_alpha 90.00
_cell_angle_beta 90.00
_cell_angle_gamma 90.00
_space_group_name_H-M_alt 'I m m m'
_space_group_IT_number 71
_space_group_name_Hall '-I 2 2'
loop_
_atom_site_label
_atom_site_type_symbol
_atom_site_fract_x
_atom_site_fract_y
_atom_site_fract_z
Ba1 Ba 0.0000 0.0000 0.0000
P1 P 0.0000 0.0000 0.5000
Cl1 Cl 0.0000 0.5000 0.1924

***

Total moment across the listed records, respectively: 0.0; 4.0; 0.0; 3.5; 3.7; 0.0 Bohr magnetons per cell.